*A*
GdDyNi, relaxed, DFT PBE; symmetry = I4mm (107)
1.0
3.4245 0.0000 0.0000
0.0000 3.4245 0.0000
-1.7122 -1.7122 6.2403
Gd Dy Ni
1 1 1
direct
0.3182 0.3182 0.6364
0.5789 0.5789 0.1578
0.9529 0.9529 0.9058

***

*B*
GdDyNi, relaxed, DFT PBE; symmetry = F-43m (216)
1.0
-2.7383 1.9302 3.3864
1.2060 -0.4564 4.5857
1.5470 3.7849 2.4440
Gd Dy Ni
1 1 1
direct
0.0000 0.0000 0.0000
0.5000 0.5000 0.5000
0.2500 0.2500 0.2500

***

*C*
GdDyNi, relaxed, DFT PBE; symmetry = P3m1 (156)
1.0
3.9237 0.0000 0.0000
-1.9618 3.3980 0.0000
0.0000 0.0000 6.1935
Gd Ni Dy
1 1 1
direct
0.0000 0.0000 0.0897
0.6667 0.3333 0.3371
0.3333 0.6667 0.5732

***

*A* is the most stable structure; the next one sits 0.072 eV/atom above it.